1.
# OsAuO3

A relaxed OsAuO3 crystal (GGA-PBEsol, the Alexandria database).

Unit cell a=4.0102 b=4.0102 c=4.0102 alpha=90.00 beta=90.00 gamma=90.00
Sites, in units of the cell vectors:
O 0.0000 0.5000 0.0000
Os 0.5000 0.5000 0.5000
O 0.5000 0.0000 0.0000
Au 0.0000 0.0000 0.0000
O 0.0000 0.0000 0.5000

- VASP energy (eV for the cell shown) = -25.31
- DOS at the Fermi energy (states/eV/cell) = 2.7
- symmetry = Pm-3m (221)
- formation energy (no corrections) (meV/atom) = 1316
- total moment (μB/cell) = 4.61
- crystal system = cubic

2.
# Tl2GaS

A relaxed Tl2GaS crystal (GGA-PBEsol, the Alexandria database).

Unit cell a=5.1196 b=5.1196 c=5.1196 alpha=60.00 beta=60.00 gamma=60.00
Sites, in units of the cell vectors:
Tl 0.2500 0.2500 0.2500
Ga 0.5000 0.5000 0.5000
Tl 0.7500 0.7500 0.7500
S 0.0000 0.0000 0.0000

- VASP energy (eV for the cell shown) = -12.70
- DOS at the Fermi energy (states/eV/cell) = 2.5
- symmetry = Fm-3m (225)
- formation energy (no corrections) (meV/atom) = 70
- total moment (μB/cell) = 0.00
- crystal system = cubic

3.
# BaSr2Ca2

A relaxed BaSr2Ca2 crystal (GGA-PBEsol, the Alexandria database).

Unit cell a=4.1990 b=10.9588 c=10.9588 alpha=90.00 beta=90.00 gamma=90.00
Sites, in units of the cell vectors:
Sr 0.5000 0.3269 0.1731
Ca 0.0000 0.6211 0.1211
Ba 0.0000 0.5000 0.5000
Sr 0.5000 0.1731 0.6731
Ca 0.0000 0.8789 0.6211
Ca 0.0000 0.1211 0.3789
Sr 0.5000 0.6731 0.8269
Sr 0.5000 0.8269 0.3269
Ba 0.0000 0.0000 0.0000
Ca 0.0000 0.3789 0.8789

- formation energy (eV/atom) = 0.091
- VASP energy (eV for the cell shown) = -19.28
- DOS at the Fermi energy (states/eV/cell) = 17.0
- symmetry = P4/mbm (127)
- total moment (μB/cell) = 1.60
- crystal system = tetragonal

4.
# P2WSe

A relaxed P2WSe crystal (GGA-PBEsol, the Alexandria database).

Unit cell a=2.9969 b=4.4337 c=4.4337 alpha=90.00 beta=90.00 gamma=90.00
Sites, in units of the cell vectors:
P 0.0000 0.0000 0.5000
W 0.5000 0.0000 0.0000
Se 0.5000 0.5000 0.5000
P 0.0000 0.5000 0.0000

- VASP energy (eV for the cell shown) = -26.77
- DOS at the Fermi energy (states/eV/cell) = 3.4
- symmetry = P4/mmm (123)
- formation energy (no corrections) (meV/atom) = 618
- total moment (μB/cell) = 0.00
- crystal system = tetragonal

5.
# Li5Re

A relaxed Li5Re crystal (GGA-PBEsol, the Alexandria database).

Unit cell a=2.4827 b=5.5193 c=7.0608 alpha=101.70 beta=90.00 gamma=103.00
Sites, in units of the cell vectors:
Li 0.6742 0.3484 0.3286
Li 0.6144 0.2288 0.7246
Li 0.3449 0.6899 0.7013
Li 0.9222 0.8443 0.3522
Re 0.2700 0.5401 0.0384
Li 0.0076 0.0151 0.0216

- formation energy (eV/atom) = 0.289
- VASP energy (eV for the cell shown) = -21.43
- DOS at the Fermi energy (states/eV/cell) = 3.8
- symmetry = Cm (8)
- total moment (μB/cell) = 0.00
- crystal system = monoclinic

6.
# SrTl3I

A relaxed SrTl3I crystal (GGA-PBEsol, the Alexandria database).

Unit cell a=6.2291 b=6.2291 c=6.2291 alpha=90.00 beta=90.00 gamma=90.00
Sites, in units of the cell vectors:
I 0.5000 0.5000 0.5000
Tl 0.0000 0.5000 0.0000
Sr 0.0000 0.0000 0.0000
Tl 0.0000 0.0000 0.5000
Tl 0.5000 0.0000 0.0000

- VASP energy (eV for the cell shown) = -9.29
- DOS at the Fermi energy (states/eV/cell) = 7.4
- symmetry = Pm-3m (221)
- formation energy (no corrections) (meV/atom) = 441
- total moment (μB/cell) = 0.97
- crystal system = cubic

7.
# SnPbS2

A relaxed SnPbS2 crystal (GGA-PBEsol, the Alexandria database).

Unit cell a=3.6784 b=3.6784 c=9.0002 alpha=78.21 beta=78.21 gamma=60.00
Sites, in units of the cell vectors:
Pb 0.0000 0.0000 0.0000
Sn 0.5000 0.5000 0.5000
S 0.8915 0.8915 0.3254
S 0.1085 0.1085 0.6746

- VASP energy (eV for the cell shown) = -18.24
- DOS at the Fermi energy (states/eV/cell) = 1.7
- symmetry = R-3m (166)
- formation energy (no corrections) (meV/atom) = -304
- total moment (μB/cell) = 0.00
- energy above the lowest structure with this stoichiometry (eV per atom) = 0.1928
- crystal system = trigonal

8.
# RbMg2H

A relaxed RbMg2H crystal (GGA-PBEsol, the Alexandria database).

Unit cell a=6.8352 b=6.8352 c=6.8352 alpha=60.00 beta=60.00 gamma=60.00
Sites, in units of the cell vectors:
H 0.0000 0.0000 0.0000
Rb 0.5000 0.5000 0.5000
Mg 0.1250 0.6250 0.1250
Rb 0.7500 0.7500 0.7500
Mg 0.6250 0.1250 0.1250
Mg 0.1250 0.1250 0.1250
Mg 0.1250 0.1250 0.6250
H 0.2500 0.2500 0.2500

- VASP energy (eV for the cell shown) = -13.85
- DOS at the Fermi energy (states/eV/cell) = 1.2
- symmetry = Fd-3m (227)
- total moment (μB/cell) = 0.00
- crystal system = cubic

9.
# BaScTe2

A relaxed BaScTe2 crystal (GGA-PBEsol, the Alexandria database).

Unit cell a=4.3787 b=4.3787 c=8.0210 alpha=74.16 beta=74.16 gamma=60.00
Sites, in units of the cell vectors:
Sc 0.0000 0.0000 0.0000
Te 0.2656 0.2656 0.2032
Te 0.7344 0.7344 0.7968
Ba 0.5000 0.5000 0.5000

- VASP energy (eV for the cell shown) = -21.46
- DOS at the Fermi energy (states/eV/cell) = 2.1
- symmetry = R-3m (166)
- formation energy (no corrections) (meV/atom) = -1414
- total moment (μB/cell) = 0.00
- crystal system = trigonal

10.
# AlPbCl2

A relaxed AlPbCl2 crystal (GGA-PBEsol, the Alexandria database).

Unit cell a=5.0830 b=5.0830 c=5.0830 alpha=60.00 beta=60.00 gamma=60.00
Sites, in units of the cell vectors:
Cl 0.2500 0.2500 0.2500
Pb 0.5000 0.5000 0.5000
Al 0.0000 0.0000 0.0000
Cl 0.7500 0.7500 0.7500

- VASP energy (eV for the cell shown) = -13.42
- DOS at the Fermi energy (states/eV/cell) = 1.6
- symmetry = Fm-3m (225)
- formation energy (no corrections) (meV/atom) = -328
- total moment (μB/cell) = 0.00
- energy above the lowest structure with this stoichiometry (eV per atom) = 0.1582
- crystal system = cubic

11.
# LiAuBr2O

A relaxed LiAuBr2O crystal (GGA-PBEsol, the Alexandria database).

Unit cell a=3.8974 b=5.3679 c=5.3679 alpha=90.00 beta=90.00 gamma=90.00
Sites, in units of the cell vectors:
Li 0.5000 0.5000 0.5000
Br 0.0000 0.5000 0.0000
Au 0.0000 0.0000 0.0000
O 0.5000 0.0000 0.0000
Br 0.0000 0.0000 0.5000

- VASP energy (eV for the cell shown) = -16.55
- DOS at the Fermi energy (states/eV/cell) = 1.6
- symmetry = P4/mmm (123)
- formation energy (no corrections) (meV/atom) = -335
- total moment (μB/cell) = 0.62
- crystal system = tetragonal

12.
# YHgPb2

A relaxed YHgPb2 crystal (GGA-PBEsol, the Alexandria database).

Unit cell a=3.8843 b=3.8843 c=6.9988 alpha=90.00 beta=90.00 gamma=90.00
Sites, in units of the cell vectors:
Pb 0.0000 0.0000 0.9901
Pb 0.5000 0.5000 0.2489
Hg 0.5000 0.5000 0.7468
Y 0.0000 0.0000 0.5142

- formation energy (eV/atom) = -0.272
- VASP energy (eV for the cell shown) = -16.47
- DOS at the Fermi energy (states/eV/cell) = 2.8
- symmetry = P4mm (99)
- total moment (μB/cell) = 0.00
- crystal system = tetragonal

Q: Look up the VASP energy of the third one.
A: -19.28 eV for the cell shown

Q: What is the formula in the fourth record?
A: P2WSe

Q: The lowest DOS at the Fermi energy belongs to which entry?
A: RbMg2H